Record 1
Ce5PrSb4 | PBE | relaxed

abc: 4.6768 8.2132 9.8475
angles: 123.22 103.74 90.00
Fractional coordinates of all 10 atoms:
Ce1 0.1298 0.8094 0.2595
Ce2 0.2855 0.4225 0.5710
Ce3 0.8702 0.1906 0.7405
Ce4 0.7145 0.5775 0.4290
Ce5 0.5000 0.5000 0.0000
Sb1 0.6882 0.1169 0.3764
Sb2 0.3118 0.8831 0.6236
Sb3 0.9285 0.6550 0.8570
Sb4 0.0715 0.3450 0.1430
Pr1 0.5000 0.0000 0.0000

Raw formation energy = -808 meV per atom
Calculated density = 7.3 g/cm3
Symmetry = C2/m (12)
Energy = -5.902 eV/atom
DOS at the Fermi energy = 28.4 states/eV per cell

=====

Record 2
CePr2Sb | PBE | relaxed

abc: 4.7566 4.9788 4.9788
angles: 90.00 90.00 90.00
Fractional coordinates of all 4 atoms:
Pr1 0.0000 0.5000 0.0000
Pr2 0.0000 0.0000 0.5000
Sb1 0.5000 0.0000 0.0000
Ce1 0.5000 0.5000 0.5000

Raw formation energy = -520 meV per atom
Calculated density = 7.7 g/cm3
Symmetry = P4/mmm (123)
Energy = -5.424 eV/atom
Distance to the lowest polymorph of the same formula = 0.000 eV/atom
DOS at the Fermi energy = 8.1 states/eV per cell

=====

Record 3
Ce4PrSb6 | PBE | relaxed

abc: 8.8120 8.8120 8.8120
angles: 91.54 91.54 88.46
Fractional coordinates of all 22 atoms:
Sb1 0.3346 0.9329 0.9207
Sb2 0.9207 0.6654 0.9329
Sb3 0.6654 0.0671 0.0793
Sb4 0.4207 0.5671 0.8346
Sb5 0.0793 0.3346 0.0671
Sb6 0.5793 0.4329 0.1654
Sb7 0.0671 0.9207 0.3346
Sb8 0.5671 0.1654 0.5793
Sb9 0.1654 0.4207 0.4329
Sb10 0.4329 0.8346 0.4207
Sb11 0.9329 0.0793 0.6654
Sb12 0.8346 0.5793 0.5671
Ce1 0.2500 0.6416 0.1416
Ce2 0.8584 0.2500 0.3584
Ce3 0.7500 0.3584 0.8584
Ce4 0.6416 0.8584 0.7500
Ce5 0.2500 0.2500 0.7500
Ce6 0.1416 0.7500 0.6416
Ce7 0.3584 0.1416 0.2500
Ce8 0.7500 0.7500 0.2500
Pr1 0.5000 0.5000 0.5000
Pr2 0.0000 0.0000 0.0000

Raw formation energy = -853 meV per atom
Calculated density = 7.0 g/cm3
Symmetry = R-3c (167)
Energy = -5.694 eV/atom
DOS at the Fermi energy = 45.5 states/eV per cell

=====

What did the second record say?
CePr2Sb | PBE | relaxed

abc: 4.7566 4.9788 4.9788
angles: 90.00 90.00 90.00
Fractional coordinates of all 4 atoms:
Pr1 0.0000 0.5000 0.0000
Pr2 0.0000 0.0000 0.5000
Sb1 0.5000 0.0000 0.0000
Ce1 0.5000 0.5000 0.5000

Raw formation energy = -520 meV per atom
Calculated density = 7.7 g/cm3
Symmetry = P4/mmm (123)
Energy = -5.424 eV/atom
Distance to the lowest polymorph of the same formula = 0.000 eV/atom
DOS at the Fermi energy = 8.1 states/eV per cell